[1]
Compound: InIrSe3
Source: Alexandria
Functional: GGA-PBE
Structure: relaxed

POSCAR file:
```
InIrSe3
1.0
6.584 0.000 0.000
-1.368 6.592 0.000
-1.334 -3.697 5.474
In Ir Se
2 2 6
Direct
0.301 0.638 0.636
0.699 0.362 0.364
0.000 0.831 0.169
0.000 0.169 0.831
0.229 0.216 0.215
0.771 0.784 0.785
0.763 0.013 0.410
0.236 0.592 0.986
0.237 0.987 0.590
0.764 0.408 0.014
```

Results
crystal system	triclinic
SG	P-1
V	237.6	Å³ per cell
E above lowest polymorph	0.2	kJ per mole of atoms
uncorrected formation energy	-373	meV/atom


[2]
Compound: InIrSe3
Source: Alexandria
Functional: GGA-PBE
Structure: relaxed

POSCAR file:
```
InIrSe3
1.0
6.253 0.004 0.000
3.039 5.775 -0.002
1.665 -0.176 6.417
In Se Ir
2 6 2
Direct
0.265 0.523 0.790
0.735 0.165 0.011
0.904 0.519 0.136
0.879 0.590 0.635
0.346 0.026 0.426
0.258 0.723 0.294
0.249 0.989 0.821
0.711 0.200 0.577
0.559 0.658 0.951
0.787 0.877 0.346
```

Results
crystal system	triclinic
SG	P1
V	231.6	Å³ per cell
E above lowest polymorph	14.8	kJ per mole of atoms
uncorrected formation energy	-223	meV/atom